First-principles (GGA-PBEsol) data for crystalline NbAsC3 at its relaxed geometry, as listed in the Alexandria database.

Geometry as POSCAR:
```
NbAsC3
1.0
3.8168 0.0000 0.0000
0.0000 3.8168 0.0000
0.0000 0.0000 3.8168
Nb As C
1 1 3
Cartesian
0.0000 0.0000 0.0000
1.9084 1.9084 1.9084
0.0000 1.9084 1.9084
1.9084 0.0000 1.9084
1.9084 1.9084 0.0000
```

Calculated values
For the formation energy, the calculation gives 2.21 eV per atom. As for the symmetry: No. 221.